No. 1
First-principles (PBE-GGA) data for a geometry-optimized PmCuSi2 structure, as listed in Alexandria via LeMat-Bulk.

Geometry as POSCAR:
```
PmCuSi2
1.0
-0.2255 1.3748 3.7538
-4.1072 -1.9688 0.4744
2.7450 -3.3855 1.4048
Si Cu Pm
2 1 1
direct
0.5000 0.8902 0.4985
0.5000 0.5015 0.1098
0.5000 0.3991 0.6009
0.0000 0.9893 0.0107
```

Output
ΔE to the lowest computed polymorph = 309 meV/atom
Space-group type = No. 38
Crystal system = orthorhombic

---

No. 2
First-principles (PBE-GGA) data for a geometry-optimized MgTlI2N structure, as listed in Alexandria via LeMat-Bulk.

Geometry as POSCAR:
```
MgTlI2N
1.0
-5.3748 -1.4721 2.3717
2.5819 -0.6656 5.4380
-0.7371 4.0544 0.8462
Mg Tl N I
1 1 1 2
direct
0.0000 0.0000 0.0000
0.5000 0.5000 0.5000
0.0000 0.0000 0.5000
0.5000 0.0000 0.0000
0.0000 0.5000 0.0000
```

Output
ΔE to the lowest computed polymorph = 0 meV/atom
Space-group type = No. 123
Crystal system = tetragonal

---

No. 3
First-principles (PBE-GGA) data for a geometry-optimized Hg2BIr structure, as listed in Alexandria via LeMat-Bulk.

Geometry as POSCAR:
```
Hg2BIr
1.0
9.3436 0.0000 0.0000
0.0000 9.3436 0.0000
4.6718 4.6718 2.0431
B Ir Hg
2 2 4
direct
0.5000 0.5000 0.0000
0.2500 0.7500 0.5000
0.7500 0.2500 0.5000
0.0000 0.0000 0.0000
0.3746 0.6250 0.2500
0.3754 0.1250 0.2500
0.8750 0.6254 0.7500
0.3750 0.6246 0.7500
```

Output
Energy of formation from the pure elements = 0.58 eV/atom
Space-group type = No. 141
Crystal system = tetragonal